# Ga2CuPt PBE optimized geometry
# E (eV per atom): -4.396
# Formation energy (eV/atom): -0.348
# Polymorph energy (0 for the lowest one) (eV per atom): 0.000
data_Ga2CuPt
_chemical_formula_sum 'Ga4 Cu2 Pt2'
_cell_length_a 4.567
_cell_length_b 4.867
_cell_length_c 6.456
_cell_angle_alpha 72.43
_cell_angle_beta 70.57
_cell_angle_gamma 75.14
_space_group_name_H-M_alt 'P -1'
_space_group_IT_number 2
_space_group_name_Hall '-P 1'
loop_
_atom_site_label
_atom_site_type_symbol
_atom_site_fract_x
_atom_site_fract_y
_atom_site_fract_z
_atom_site_occupancy
Ga1 Ga 0.212 0.179 0.012 1
Ga2 Ga 0.215 0.198 0.524 1
Cu1 Cu 0.277 0.626 0.145 1
Pt1 Pt 0.234 0.640 0.668 1